The following is a DFT calculation (PBE) of an optimized crystal structure of TbAs2Rh.

Cell lengths 3.3421, 3.3421, 9.2848 Å; angles 79.63, 79.63, 60.00 degrees
With the nearest neighbours (Å) after each atom.
Fractional coordinates of all 4 atoms:
Rh (0.5000, 0.5000, 0.5000)  6 As 2.54
As (0.1060, 0.1060, 0.6821)  3 Rh 2.54
As (0.8940, 0.8940, 0.3179)  3 Rh 2.54
Tb (0.0000, 0.0000, 0.0000)  2 As 2.89

Results
- Space group: No. 166
- Size of the total moment: 0.0 μB per cell
- D(E_F): 1.993 states/eV/cell
- Electronic total energy: -5.504 eV/atom